1.
BaYBi2 | GGA-PBE | optimized geometry

Lattice parameters (Å, degrees): 6.894 6.894 17.302 90.00 90.00 90.00
Sites, in units of the cell vectors:
Ba 0.000 0.000 0.000
Ba 0.000 0.500 0.250
Ba 0.500 0.000 0.750
Ba 0.500 0.500 0.500
Y 0.000 0.000 0.500
Y 0.000 0.500 0.750
Y 0.500 0.000 0.250
Y 0.500 0.500 0.000
Bi 0.175 0.250 0.625
Bi 0.250 0.675 0.875
Bi 0.250 0.825 0.375
Bi 0.325 0.250 0.125
Bi 0.675 0.750 0.125
Bi 0.750 0.175 0.375
Bi 0.750 0.325 0.875
Bi 0.825 0.750 0.625

Summary:
- Energy above the lowest structure with this stoichiometry: 0.417 eV per atom
- Calculated volume: 51.4 Å³/atom
- Raw total energy: -0.324 Ry/atom

---

2.
PCS2Cl | GGA-PBE | optimized geometry

Lattice parameters (Å, degrees): 4.551 4.551 4.789 90.00 90.00 90.00
Sites, in units of the cell vectors:
P 0.000 0.000 0.000
C 0.500 0.500 0.000
S 0.000 0.500 0.500
S 0.500 0.000 0.500
Cl 0.000 0.000 0.500

Summary:
- Energy above the lowest structure with this stoichiometry: 1.192 eV per atom
- Calculated volume: 19.8 Å³/atom
- Formation energy from raw total energies: 2.592 eV per atom
- Raw total energy: -0.173 Ry/atom

---

3.
Zr2N2O | GGA-PBE | optimized geometry

Lattice parameters (Å, degrees): 5.518 5.572 10.325 75.56 74.95 60.76
Sites, in units of the cell vectors:
Zr 0.000 0.000 0.000
Zr 0.089 0.140 0.675
Zr 0.258 0.253 0.251
Zr 0.369 0.354 0.927
Zr 0.491 0.493 0.500
Zr 0.584 0.629 0.175
Zr 0.732 0.765 0.749
Zr 0.866 0.873 0.424
N 0.091 0.512 0.582
N 0.257 0.861 0.336
N 0.282 0.610 0.091
N 0.336 0.053 0.839
N 0.555 0.259 0.337
N 0.585 0.016 0.084
N 0.744 0.359 0.831
N 0.790 0.103 0.587
O 0.036 0.745 0.845
O 0.485 0.804 0.592
O 0.850 0.560 0.338
O 0.980 0.311 0.089

Summary:
- Calculated volume: 13.2 Å³/atom
- Formation energy from raw total energies: -1.981 eV per atom
- Raw total energy: -0.715 Ry/atom

---

4.
Pu2HfN4 | GGA-PBE | optimized geometry

Lattice parameters (Å, degrees): 6.095 6.095 6.095 109.44 109.44 109.54
Sites, in units of the cell vectors:
Pu 0.013 0.125 0.388
Pu 0.375 0.987 0.112
Pu 0.737 0.625 0.612
Pu 0.875 0.263 0.888
Hf 0.250 0.750 0.500
Hf 0.500 0.500 0.000
N 0.136 0.002 0.748
N 0.138 0.504 0.752
N 0.254 0.388 0.252
N 0.496 0.248 0.634
N 0.612 0.864 0.866
N 0.614 0.862 0.366
N 0.752 0.386 0.248
N 0.998 0.746 0.134

Summary:
- Calculated volume: 12.5 Å³/atom
- Formation energy from raw total energies: -1.206 eV per atom
- Raw total energy: -0.844 Ry/atom

---

5.
Sc2TiB | GGA-PBE | optimized geometry

Lattice parameters (Å, degrees): 8.522 8.522 4.375 90.00 90.00 90.00
Sites, in units of the cell vectors:
Sc 0.111 0.250 0.125
Sc 0.250 0.611 0.375
Sc 0.250 0.889 0.875
Sc 0.389 0.250 0.625
Sc 0.611 0.750 0.625
Sc 0.750 0.111 0.875
Sc 0.750 0.389 0.375
Sc 0.889 0.750 0.125
Ti 0.000 0.000 0.500
Ti 0.000 0.500 0.750
Ti 0.500 0.000 0.250
Ti 0.500 0.500 0.000
B 0.000 0.000 0.000
B 0.000 0.500 0.250
B 0.500 0.000 0.750
B 0.500 0.500 0.500

Summary:
- Calculated volume: 19.9 Å³/atom
- Raw total energy: -0.484 Ry/atom

---

6.
Na4ScIn3Si8O24 | GGA-PBE | optimized geometry

Lattice parameters (Å, degrees): 7.727 7.727 10.060 116.01 116.01 73.43
Sites, in units of the cell vectors:
Na 0.000 0.000 0.000
Na 0.353 0.144 0.747
Na 0.502 0.498 0.500
Na 0.856 0.647 0.253
Sc 0.911 0.089 0.500
In 0.409 0.591 0.000
In 0.449 0.054 0.251
In 0.946 0.551 0.749
Si 0.138 0.358 0.458
Si 0.138 0.364 0.043
Si 0.214 0.782 0.707
Si 0.218 0.786 0.293
Si 0.636 0.862 0.957
Si 0.642 0.862 0.542
Si 0.717 0.283 0.209
Si 0.717 0.283 0.791
O 0.030 0.914 0.335
O 0.080 0.314 0.578
O 0.086 0.970 0.665
O 0.172 0.555 0.212
O 0.172 0.731 0.832
O 0.180 0.590 0.538
O 0.181 0.416 0.918
O 0.262 0.171 0.075
O 0.269 0.828 0.168
O 0.333 0.236 0.428
O 0.410 0.820 0.462
O 0.445 0.828 0.788
O 0.523 0.407 0.822
O 0.584 0.819 0.082
O 0.593 0.477 0.178
O 0.677 0.051 0.713
O 0.678 0.094 0.038
O 0.679 0.227 0.333
O 0.686 0.920 0.422
O 0.764 0.667 0.572
O 0.773 0.321 0.667
O 0.829 0.738 0.925
O 0.906 0.322 0.962
O 0.949 0.323 0.287

Summary:
- Calculated volume: 12.0 Å³/atom
- Formation energy from raw total energies: -2.511 eV per atom
- Raw total energy: -0.519 Ry/atom

---

7.
Na3MgSn12 | GGA-PBE | optimized geometry

Lattice parameters (Å, degrees): 4.654 4.654 19.626 90.00 90.00 90.00
Sites, in units of the cell vectors:
Na 0.000 0.000 0.000
Na 0.000 0.000 0.251
Na 0.000 0.000 0.749
Mg 0.000 0.000 0.500
Sn 0.000 0.500 0.125
Sn 0.000 0.500 0.377
Sn 0.000 0.500 0.623
Sn 0.000 0.500 0.875
Sn 0.500 0.000 0.125
Sn 0.500 0.000 0.377
Sn 0.500 0.000 0.623
Sn 0.500 0.000 0.875
Sn 0.500 0.500 0.000
Sn 0.500 0.500 0.249
Sn 0.500 0.500 0.500
Sn 0.500 0.500 0.751

Summary:
- Calculated volume: 26.6 Å³/atom
- Raw total energy: -0.252 Ry/atom

---

8.
Ho8TmAl2 | GGA-PBE | optimized geometry

Lattice parameters (Å, degrees): 8.500 8.500 5.507 101.58 101.58 117.99
Sites, in units of the cell vectors:
Ho 0.088 0.325 0.612
Ho 0.222 0.778 0.000
Ho 0.325 0.088 0.612
Ho 0.401 0.401 0.203
Ho 0.599 0.599 0.797
Ho 0.675 0.912 0.388
Ho 0.778 0.222 0.000
Ho 0.912 0.675 0.388
Tm 0.000 0.000 0.000
Al 0.308 0.692 0.500
Al 0.692 0.308 0.500

Summary:
- Energy above the lowest structure with this stoichiometry: 0.119 eV per atom
- Calculated volume: 29.4 Å³/atom
- Raw total energy: -0.324 Ry/atom

---

9.
LiAl4Pt | GGA-PBE | optimized geometry

Lattice parameters (Å, degrees): 5.173 5.173 5.173 60.00 60.00 60.00
Sites, in units of the cell vectors:
Li 0.000 0.000 0.000
Al 0.375 0.375 0.375
Al 0.375 0.375 0.876
Al 0.375 0.876 0.375
Al 0.876 0.375 0.375
Pt 0.750 0.750 0.750

Summary:
- Calculated volume: 16.3 Å³/atom
- Raw total energy: -0.288 Ry/atom

---

10.
TlSnAu | GGA-PBE | optimized geometry

Lattice parameters (Å, degrees): 4.466 5.603 7.139 112.14 90.05 90.02
Sites, in units of the cell vectors:
Tl 0.250 0.205 0.432
Tl 0.750 0.795 0.568
Sn 0.249 0.228 0.917
Sn 0.751 0.772 0.083
Au 0.249 0.681 0.822
Au 0.751 0.319 0.178

Summary:
- Calculated volume: 27.6 Å³/atom
- Raw total energy: -0.241 Ry/atom

---

11.
KZn2Co2 | GGA-PBE | optimized geometry

Lattice parameters (Å, degrees): 4.513 4.513 9.088 90.00 90.00 90.00
Sites, in units of the cell vectors:
K 0.000 0.000 0.000
K 0.500 0.500 0.500
Zn 0.000 0.500 0.250
Zn 0.000 0.500 0.750
Zn 0.500 0.000 0.250
Zn 0.500 0.000 0.750
Co 0.000 0.000 0.378
Co 0.000 0.000 0.622
Co 0.500 0.500 0.122
Co 0.500 0.500 0.878

Summary:
- Energy above the lowest structure with this stoichiometry: 0.175 eV per atom
- Calculated volume: 18.5 Å³/atom
- Raw total energy: -0.225 Ry/atom

---

12.
Ag13Pd2 | GGA-PBE | optimized geometry

Lattice parameters (Å, degrees): 5.051 7.159 7.702 71.65 84.05 89.45
Sites, in units of the cell vectors:
Ag 0.000 0.000 0.000
Ag 0.133 0.262 0.206
Ag 0.199 0.397 0.800
Ag 0.264 0.532 0.401
Ag 0.333 0.665 0.999
Ag 0.396 0.802 0.597
Ag 0.467 0.932 0.202
Ag 0.533 0.068 0.798
Ag 0.604 0.198 0.403
Ag 0.667 0.335 0.001
Ag 0.736 0.468 0.599
Ag 0.801 0.603 0.200
Ag 0.867 0.738 0.794
Pd 0.067 0.133 0.601
Pd 0.933 0.867 0.399

Summary:
- Energy above the lowest structure with this stoichiometry: 0.000 eV per atom
- Calculated volume: 17.5 Å³/atom
- Raw total energy: -0.233 Ry/atom

---

Repeat the twelfth record exactly.
Ag13Pd2 | GGA-PBE | optimized geometry

Lattice parameters (Å, degrees): 5.051 7.159 7.702 71.65 84.05 89.45
Sites, in units of the cell vectors:
Ag 0.000 0.000 0.000
Ag 0.133 0.262 0.206
Ag 0.199 0.397 0.800
Ag 0.264 0.532 0.401
Ag 0.333 0.665 0.999
Ag 0.396 0.802 0.597
Ag 0.467 0.932 0.202
Ag 0.533 0.068 0.798
Ag 0.604 0.198 0.403
Ag 0.667 0.335 0.001
Ag 0.736 0.468 0.599
Ag 0.801 0.603 0.200
Ag 0.867 0.738 0.794
Pd 0.067 0.133 0.601
Pd 0.933 0.867 0.399

Summary:
- Energy above the lowest structure with this stoichiometry: 0.000 eV per atom
- Calculated volume: 17.5 Å³/atom
- Raw total energy: -0.233 Ry/atom

---

Q: raw total energy of number 5 (Sc2TiB)?
A: -0.484 Ry/atom